Below is a relaxed structure of Pr2Nd2Sm, with properties calculated at the GGA-PBE level.

abc: 6.432 6.974 9.006
angles: 112.78 90.00 90.00
Fractional positions:
Nd: 0.750 0.931 0.339
Nd: 0.250 0.591 0.661
Nd: 0.250 0.069 0.661
Nd: 0.750 0.409 0.339
Sm: 0.500 0.000 0.000
Sm: 0.000 0.000 0.000
Pr: 0.750 0.402 0.805
Pr: 0.250 0.170 0.339
Pr: 0.750 0.830 0.661
Pr: 0.250 0.598 0.195

Calculated values
For the density of states at the Fermi level, the calculation gives 7.540 states/eV/f.u. The calculation puts the calculated formation energy at 0.28 eV/atom. The value obtained for the total magnetic moment is 0.000 μB per formula unit. Its space-group type is Cmcm. The energy above the most stable polymorph in this dataset is 148 meV/atom. The value obtained for the energy is -44.88 eV/cell.